1.
Er2Re | PBE | relaxed

Results
ΔH_f (0 K)	0.07	eV per atom
N(E_F)	4.0	states/eV/cell
space group	No. 12

```
3
Lattice="3.411 0.004 0.008 0.003 3.411 0.008 -1.707 -1.708 6.352" Properties=species:S:1:pos:R:3 pbc="T T T"
Re 0.000 0.000 0.000
Er 1.706 1.707 1.651
Er 0.000 0.000 4.718
```

2.
Pr2GePt2 | PBE | relaxed

Results
ΔH_f (0 K)	-1.01	eV per atom
N(E_F)	7.4	states/eV/cell
space group	No. 12

```
10
Lattice="-2.395 -1.327 3.375 1.633 -5.305 1.870 5.043 3.632 7.804" Properties=species:S:1:pos:R:3 pbc="T T T"
Pr 0.634 -1.405 5.494
Pr 2.741 0.579 10.568
Pr 3.646 -1.595 7.556
Pr 1.539 -3.579 2.483
Ge 1.879 1.091 7.359
Ge 2.401 -4.091 5.691
Pt 3.103 0.545 5.214
Pt 4.289 -2.065 10.626
Pt 1.177 -3.545 7.836
Pt -0.009 -0.935 2.424
```

3.
TlAg6F8 | PBE | relaxed

Results
N(E_F)	1.8	states/eV/cell
space group	No. 148
E_form (uncorrected)	-1.102	eV/atom

```
15
Lattice="6.280 -0.396 -0.580 -0.598 6.264 -0.580 -0.383 -0.396 6.295" Properties=species:S:1:pos:R:3 pbc="T T T"
Tl 0.000 0.000 0.000
Ag 3.293 1.912 4.684
Ag 1.757 4.844 3.145
Ag 4.738 3.353 1.658
Ag 2.005 3.559 0.451
Ag 3.541 0.628 1.990
Ag 0.560 2.119 3.477
F 3.791 3.915 3.674
F 1.507 1.557 1.461
F 3.730 5.052 0.080
F 5.043 0.359 3.725
F 0.234 3.890 4.925
F 1.569 0.419 5.056
F 0.255 5.113 1.410
F 5.065 1.581 0.211
```

4.
LiAcPtPb | PBE | relaxed

Results
ΔH_f (0 K)	-0.61	eV per atom
N(E_F)	0.6	states/eV/cell
space group	No. 216

```
4
Lattice="-3.018 -2.144 3.532 1.489 -4.277 2.382 1.333 0.153 4.938" Properties=species:S:1:pos:R:3 pbc="T T T"
Pb -0.098 -3.134 5.426
Ac 0.000 0.000 0.000
Pt -0.147 -4.701 8.139
Li -0.049 -1.567 2.713
```

- What is the N(E_F) in the first record?
  4.0 states/eV/cell

- Which of these has the highest N(E_F)?
  Pr2GePt2